VASP calculation (PBE) on crystalline HoFeCu at its relaxed geometry.

Lattice parameters (Å, degrees): 4.4854 4.4854 4.4854 60.00 60.00 60.00
Atoms (fractional coordinates):
Cu 0.7500 0.7500 0.7500
Ho 0.0000 0.0000 0.0000
Fe 0.2500 0.2500 0.2500

Summary:
space-group type: F-43m, No. 216
energy of formation from the pure elements: 0.871 eV per atom
total energy: -13.990 eV for the cell shown